An optimized crystal structure of Pr2NdSm2Dy. Source: the Alexandria database, functional PBE.

Geometry as POSCAR:
```
Pr2NdSm2Dy
1.0
6.769 0.000 0.000
0.000 18.123 0.000
0.000 0.000 3.445
Pr Nd Sm Dy
4 2 4 2
Direct
0.235 0.183 0.000
0.265 0.683 0.500
0.735 0.317 0.500
0.765 0.817 0.000
0.000 0.500 0.000
0.500 0.000 0.500
0.231 0.353 0.500
0.269 0.853 0.000
0.731 0.147 0.000
0.769 0.647 0.500
0.000 0.000 0.000
0.500 0.500 0.500
```

Computed properties:
Total magnetization = 0.00 μB/f.u.
Energy of formation from the pure elements = 0.24 eV per atom
Symmetry = Pnnm
Crystal system = orthorhombic
Calculated volume = 423 Å³ per cell
E_tot = -4.483 eV/atom

An optimized crystal structure of PrNdSm3Dy. Source: the Alexandria database, functional PBE.

Geometry as POSCAR:
```
PrNdSm3Dy
1.0
10.198 -2.895 0.000
10.198 2.895 0.000
-0.041 0.000 6.974
Pr Nd Sm Dy
2 2 6 2
Direct
0.146 0.146 0.024
0.854 0.854 0.976
0.444 0.444 0.740
0.556 0.556 0.260
0.019 0.019 0.744
0.281 0.281 0.752
0.336 0.336 0.263
0.664 0.664 0.737
0.719 0.719 0.248
0.981 0.981 0.256
0.148 0.148 0.467
0.852 0.852 0.533
```

Computed properties:
Total magnetization = 0.00 μB/f.u.
Energy of formation from the pure elements = 0.17 eV per atom
Symmetry = C2/m
Crystal system = monoclinic
Calculated volume = 412 Å³ per cell
E_tot = -4.548 eV/atom

An optimized crystal structure of PrNdSm2Dy. Source: the Alexandria database, functional PBE.

Geometry as POSCAR:
```
PrNdSm2Dy
1.0
8.356 0.000 0.000
0.000 6.747 0.000
-0.016 0.000 6.261
Pr Nd Sm Dy
2 2 4 2
Direct
0.000 0.000 0.000
0.000 0.000 0.500
0.500 0.162 0.250
0.500 0.838 0.750
0.304 0.310 0.749
0.304 0.690 0.249
0.696 0.310 0.751
0.696 0.690 0.251
0.000 0.423 0.250
0.000 0.577 0.750
```

Computed properties:
Total magnetization = 0.00 μB/f.u.
Energy of formation from the pure elements = 0.26 eV per atom
Symmetry = P2/c
Crystal system = monoclinic
Calculated volume = 353 Å³ per cell
E_tot = -4.456 eV/atom

An optimized crystal structure of PrNd4SmDy2. Source: the Alexandria database, functional PBE.

Geometry as POSCAR:
```
PrNd4SmDy2
1.0
6.301 0.000 0.000
0.000 3.653 0.000
-2.131 0.000 11.886
Pr Nd Sm Dy
1 4 1 2
Direct
0.000 0.000 0.000
0.250 0.000 0.750
0.252 0.500 0.253
0.748 0.500 0.747
0.750 0.000 0.250
0.000 0.500 0.500
0.500 0.000 0.500
0.500 0.500 0.000
```

Computed properties:
Total magnetization = 0.00 μB/f.u.
Energy of formation from the pure elements = 0.02 eV per atom
Symmetry = P2/m
Crystal system = monoclinic
Calculated volume = 274 Å³ per cell
E_tot = -4.706 eV/atom

An optimized crystal structure of Pr2Nd3Sm6Dy. Source: the Alexandria database, functional PBE.

Geometry as POSCAR:
```
Pr2Nd3Sm6Dy
1.0
3.161 -5.474 0.000
3.161 5.474 0.000
-2.115 0.000 11.917
Pr Nd Sm Dy
2 3 6 1
Direct
0.167 0.833 0.000
0.833 0.167 0.000
0.000 0.000 0.500
0.333 0.667 0.500
0.667 0.333 0.500
0.085 0.417 0.751
0.251 0.251 0.250
0.417 0.085 0.751
0.583 0.915 0.249
0.749 0.749 0.750
0.915 0.583 0.249
0.500 0.500 0.000
```

Computed properties:
Total magnetization = 0.00 μB/f.u.
Energy of formation from the pure elements = 0.01 eV per atom
Symmetry = C2/m
Crystal system = monoclinic
Calculated volume = 412 Å³ per cell
E_tot = -4.718 eV/atom

An optimized crystal structure of TbPr5Nd2Dy. Source: the Alexandria database, functional PBE.

Geometry as POSCAR:
```
TbPr5Nd2Dy
1.0
-4.370 4.370 8.362
4.370 -4.370 8.362
4.370 4.370 -8.362
Tb Pr Nd Dy
2 10 4 2
Direct
0.250 0.250 0.000
0.750 0.750 0.000
0.000 0.000 0.000
0.072 0.572 0.930
0.142 0.072 0.500
0.358 0.858 0.930
0.428 0.358 0.500
0.500 0.500 0.000
0.572 0.642 0.500
0.642 0.142 0.070
0.858 0.928 0.500
0.928 0.428 0.070
0.121 0.379 0.500
0.379 0.879 0.258
0.621 0.121 0.742
0.879 0.621 0.500
0.250 0.750 0.500
0.750 0.250 0.500
```

Computed properties:
Total magnetization = 0.00 μB/f.u.
Energy of formation from the pure elements = 0.27 eV per atom
Symmetry = I4/mcm
Crystal system = tetragonal
Calculated volume = 639 Å³ per cell
E_tot = -4.469 eV/atom

An optimized crystal structure of TbPr4Nd2Dy2. Source: the Alexandria database, functional PBE.

Geometry as POSCAR:
```
TbPr4Nd2Dy2
1.0
7.764 -2.589 0.000
7.764 2.589 0.000
-2.596 0.000 7.716
Tb Pr Nd Dy
1 4 2 2
Direct
0.000 0.000 0.000
0.222 0.222 0.330
0.445 0.445 0.670
0.555 0.555 0.330
0.778 0.778 0.670
0.112 0.112 0.670
0.888 0.888 0.330
0.333 0.333 0.000
0.667 0.667 0.000
```

Computed properties:
Total magnetization = 0.00 μB/f.u.
Energy of formation from the pure elements = 0.02 eV per atom
Symmetry = C2/m
Crystal system = monoclinic
Calculated volume = 310 Å³ per cell
E_tot = -4.701 eV/atom

An optimized crystal structure of Tb6Pr2Nd3Dy. Source: the Alexandria database, functional PBE.

Geometry as POSCAR:
```
Tb6Pr2Nd3Dy
1.0
3.135 -5.428 0.000
3.135 5.428 0.000
-2.085 0.000 11.748
Tb Pr Nd Dy
6 2 3 1
Direct
0.083 0.416 0.750
0.249 0.249 0.250
0.416 0.083 0.750
0.584 0.917 0.250
0.751 0.751 0.750
0.917 0.584 0.250
0.333 0.667 0.500
0.667 0.333 0.500
0.167 0.833 0.000
0.500 0.500 0.000
0.833 0.167 0.000
0.000 0.000 0.500
```

Computed properties:
Total magnetization = 0.00 μB/f.u.
Energy of formation from the pure elements = 0.01 eV per atom
Symmetry = C2/m
Crystal system = monoclinic
Calculated volume = 400 Å³ per cell
E_tot = -4.675 eV/atom

An optimized crystal structure of TbPr4Nd2Dy. Source: the Alexandria database, functional PBE.

Geometry as POSCAR:
```
TbPr4Nd2Dy
1.0
5.183 0.000 0.000
0.000 5.211 0.000
-0.022 0.000 10.311
Tb Pr Nd Dy
1 4 2 1
Direct
0.000 0.000 0.000
0.000 0.500 0.251
0.000 0.500 0.749
0.500 0.000 0.250
0.500 0.000 0.750
0.000 0.000 0.500
0.500 0.500 0.000
0.500 0.500 0.500
```

Computed properties:
Total magnetization = 0.00 μB/f.u.
Energy of formation from the pure elements = 0.01 eV per atom
Symmetry = P2/m
Crystal system = monoclinic
Calculated volume = 278 Å³ per cell
E_tot = -4.723 eV/atom

An optimized crystal structure of Tb2Pr4Nd2Dy. Source: the Alexandria database, functional PBE.

Geometry as POSCAR:
```
Tb2Pr4Nd2Dy
1.0
9.547 -1.845 0.000
9.547 1.845 0.000
-4.240 0.000 8.846
Tb Pr Nd Dy
2 4 2 1
Direct
0.148 0.148 0.169
0.852 0.852 0.831
0.186 0.186 0.832
0.482 0.482 0.167
0.518 0.518 0.833
0.814 0.814 0.168
0.334 0.334 0.502
0.666 0.666 0.498
0.000 0.000 0.500
```

Computed properties:
Total magnetization = 0.00 μB/f.u.
Energy of formation from the pure elements = 0.01 eV per atom
Symmetry = C2/m
Crystal system = monoclinic
Calculated volume = 312 Å³ per cell
E_tot = -4.712 eV/atom

An optimized crystal structure of Tb4PrNdDy2. Source: the Alexandria database, functional PBE.

Geometry as POSCAR:
```
Tb4PrNdDy2
1.0
6.220 -3.591 0.000
6.220 3.591 0.000
-4.153 0.000 11.714
Tb Pr Nd Dy
8 2 2 4
Direct
0.248 0.750 0.748
0.249 0.249 0.747
0.250 0.250 0.252
0.250 0.752 0.252
0.750 0.248 0.748
0.750 0.750 0.748
0.751 0.751 0.253
0.752 0.250 0.252
0.000 0.500 0.000
0.500 0.000 0.000
0.500 0.500 0.000
0.500 0.500 0.500
0.000 0.000 0.000
0.000 0.000 0.500
0.000 0.500 0.500
0.500 0.000 0.500
```

Computed properties:
Total magnetization = 0.00 μB/f.u.
Energy of formation from the pure elements = 0.02 eV per atom
Symmetry = C2/m
Crystal system = monoclinic
Calculated volume = 523 Å³ per cell
E_tot = -4.644 eV/atom

An optimized crystal structure of Tb6Pr2NdDy3. Source: the Alexandria database, functional PBE.

Geometry as POSCAR:
```
Tb6Pr2NdDy3
1.0
3.113 -5.390 0.000
3.113 5.390 0.000
-2.069 0.000 11.709
Tb Pr Nd Dy
6 2 1 3
Direct
0.085 0.418 0.754
0.248 0.248 0.246
0.418 0.085 0.754
0.582 0.915 0.246
0.752 0.752 0.754
0.915 0.582 0.246
0.333 0.667 0.500
0.667 0.333 0.500
0.000 0.000 0.500
0.167 0.833 0.000
0.500 0.500 0.000
0.833 0.167 0.000
```

Computed properties:
Total magnetization = 0.00 μB/f.u.
Energy of formation from the pure elements = 0.02 eV per atom
Symmetry = C2/m
Crystal system = monoclinic
Calculated volume = 393 Å³ per cell
E_tot = -4.643 eV/atom

An optimized crystal structure of TbPr3Nd6Dy2. Source: the Alexandria database, functional PBE.

Geometry as POSCAR:
```
TbPr3Nd6Dy2
1.0
3.172 -5.496 0.000
3.172 5.496 0.000
-2.121 0.000 11.910
Tb Pr Nd Dy
1 3 6 2
Direct
0.000 0.000 0.000
0.167 0.833 0.500
0.500 0.500 0.500
0.833 0.167 0.500
0.082 0.416 0.245
0.251 0.251 0.755
0.416 0.082 0.245
0.584 0.918 0.755
0.749 0.749 0.245
0.918 0.584 0.755
0.333 0.667 0.000
0.667 0.333 0.000
```

Computed properties:
Total magnetization = 0.00 μB/f.u.
Energy of formation from the pure elements = 0.02 eV per atom
Symmetry = C2/m
Crystal system = monoclinic
Calculated volume = 415 Å³ per cell
E_tot = -4.716 eV/atom

An optimized crystal structure of TbPr2Nd4Dy. Source: the Alexandria database, functional PBE.

Geometry as POSCAR:
```
TbPr2Nd4Dy
1.0
5.165 0.000 0.000
0.000 5.185 0.000
-0.024 0.000 10.327
Tb Pr Nd Dy
1 2 4 1
Direct
0.000 0.000 0.000
0.000 0.000 0.500
0.500 0.500 0.000
0.000 0.500 0.251
0.000 0.500 0.749
0.500 0.000 0.250
0.500 0.000 0.750
0.500 0.500 0.500
```

Computed properties:
Total magnetization = 0.00 μB/f.u.
Energy of formation from the pure elements = 0.01 eV per atom
Symmetry = P2/m
Crystal system = monoclinic
Calculated volume = 277 Å³ per cell
E_tot = -4.719 eV/atom

An optimized crystal structure of TbPr2Nd6Dy3. Source: the Alexandria database, functional PBE.

Geometry as POSCAR:
```
TbPr2Nd6Dy3
1.0
3.159 -5.472 0.000
3.159 5.472 0.000
-2.106 0.000 11.847
Tb Pr Nd Dy
1 2 6 3
Direct
0.000 0.000 0.000
0.333 0.667 0.000
0.667 0.333 0.000
0.084 0.417 0.254
0.248 0.248 0.746
0.417 0.084 0.254
0.583 0.916 0.746
0.752 0.752 0.254
0.916 0.583 0.746
0.167 0.833 0.500
0.500 0.500 0.500
0.833 0.167 0.500
```

Computed properties:
Total magnetization = 0.00 μB/f.u.
Energy of formation from the pure elements = 0.01 eV per atom
Symmetry = C2/m
Crystal system = monoclinic
Calculated volume = 410 Å³ per cell
E_tot = -4.703 eV/atom

An optimized crystal structure of TbPrNd5Dy2. Source: the Alexandria database, functional PBE.

Geometry as POSCAR:
```
TbPrNd5Dy2
1.0
2.851 -10.231 0.000
2.851 10.231 0.000
0.000 0.000 10.789
Tb Pr Nd Dy
2 2 10 4
Direct
0.089 0.911 0.500
0.911 0.089 0.000
0.298 0.702 0.053
0.702 0.298 0.553
0.021 0.979 0.786
0.107 0.893 0.070
0.203 0.797 0.747
0.219 0.781 0.352
0.483 0.517 0.067
0.517 0.483 0.567
0.781 0.219 0.852
0.797 0.203 0.247
0.893 0.107 0.570
0.979 0.021 0.286
0.383 0.617 0.364
0.390 0.610 0.781
0.610 0.390 0.281
0.617 0.383 0.864
```

Computed properties:
Total magnetization = 0.00 μB/f.u.
Energy of formation from the pure elements = 0.14 eV per atom
Symmetry = Cmc2_1
Crystal system = orthorhombic
Calculated volume = 629 Å³ per cell
E_tot = -4.574 eV/atom

An optimized crystal structure of Tb6Pr3Nd2Dy. Source: the Alexandria database, functional PBE.

Geometry as POSCAR:
```
Tb6Pr3Nd2Dy
1.0
3.138 -5.435 0.000
3.138 5.435 0.000
-2.088 0.000 11.751
Tb Pr Nd Dy
6 3 2 1
Direct
0.083 0.416 0.248
0.250 0.250 0.752
0.416 0.083 0.248
0.584 0.917 0.752
0.750 0.750 0.248
0.917 0.584 0.752
0.167 0.833 0.500
0.500 0.500 0.500
0.833 0.167 0.500
0.334 0.666 0.000
0.666 0.334 0.000
0.000 0.000 0.000
```

Computed properties:
Total magnetization = 0.00 μB/f.u.
Energy of formation from the pure elements = 0.01 eV per atom
Symmetry = C2/m
Crystal system = monoclinic
Calculated volume = 401 Å³ per cell
E_tot = -4.675 eV/atom

An optimized crystal structure of TbPrNd2Dy. Source: the Alexandria database, functional PBE.

Geometry as POSCAR:
```
TbPrNd2Dy
1.0
8.325 0.000 0.000
0.000 6.749 0.000
-0.081 0.000 6.254
Tb Pr Nd Dy
2 2 4 2
Direct
0.000 0.075 0.250
0.000 0.925 0.750
0.000 0.500 0.000
0.000 0.500 0.500
0.307 0.191 0.745
0.307 0.809 0.245
0.693 0.191 0.755
0.693 0.809 0.255
0.500 0.342 0.250
0.500 0.658 0.750
```

Computed properties:
Total magnetization = 0.00 μB/f.u.
Energy of formation from the pure elements = 0.27 eV per atom
Symmetry = P2/c
Crystal system = monoclinic
Calculated volume = 351 Å³ per cell
E_tot = -4.441 eV/atom

An optimized crystal structure of Tb2Pr6NdDy3. Source: the Alexandria database, functional PBE.

Geometry as POSCAR:
```
Tb2Pr6NdDy3
1.0
3.165 -5.483 0.000
3.165 5.483 0.000
-2.106 0.000 11.785
Tb Pr Nd Dy
2 6 1 3
Direct
0.167 0.833 0.000
0.833 0.167 0.000
0.082 0.416 0.748
0.251 0.251 0.252
0.416 0.082 0.748
0.584 0.918 0.252
0.749 0.749 0.748
0.918 0.584 0.252
0.500 0.500 0.000
0.000 0.000 0.500
0.333 0.667 0.500
0.667 0.333 0.500
```

Computed properties:
Total magnetization = 0.00 μB/f.u.
Energy of formation from the pure elements = 0.01 eV per atom
Symmetry = C2/m
Crystal system = monoclinic
Calculated volume = 409 Å³ per cell
E_tot = -4.698 eV/atom

An optimized crystal structure of TbPrNd6Dy2. Source: the Alexandria database, functional PBE.

Geometry as POSCAR:
```
TbPrNd6Dy2
1.0
4.645 -7.683 0.000
4.645 7.683 0.000
-1.385 0.000 9.695
Tb Pr Nd Dy
2 2 12 4
Direct
0.028 0.972 0.750
0.972 0.028 0.250
0.406 0.594 0.250
0.594 0.406 0.750
0.018 0.567 0.684
0.112 0.759 0.055
0.241 0.888 0.445
0.294 0.508 0.880
0.433 0.982 0.816
0.492 0.706 0.620
0.508 0.294 0.380
0.567 0.018 0.184
0.706 0.492 0.120
0.759 0.112 0.555
0.888 0.241 0.945
0.982 0.433 0.316
0.195 0.292 0.546
0.292 0.195 0.046
0.708 0.805 0.954
0.805 0.708 0.454
```

Computed properties:
Total magnetization = 0.00 μB/f.u.
Energy of formation from the pure elements = 0.11 eV per atom
Symmetry = C2/c
Crystal system = monoclinic
Calculated volume = 692 Å³ per cell
E_tot = -4.607 eV/atom